1.
{
  "formula": "K2MnCl",
  "functional": "PBE-GGA",
  "state": "optimized geometry",
  "total_energy_ev_per_atom": -3.4740,
  "magnetic_moment_mub_per_fu": 4.396,
  "de_polymorph_ev_per_fu": 0.55,
  "e_form_raw_ev_per_atom": -0.17,
  "lattice": [[-1.976, 3.530, -2.925], [-0.125, -2.623, -3.081], [-6.681, -2.058, 2.030]],
  "species": ["K", "Cl", "K", "Mn"],
  "frac_coords": [[0.500, 0.125, 0.264], [0.500, 0.625, 0.938], [0.000, 0.126, 0.859], [0.000, 0.625, 0.440]]
}

2.
{
  "formula": "K2MnCl5",
  "functional": "PBE-GGA",
  "state": "optimized geometry",
  "total_energy_ev_per_atom": -4.0645,
  "magnetic_moment_mub_per_fu": 4.000,
  "e_form_raw_ev_per_atom": -1.49,
  "lattice": [[6.879, 0.184, 0.262], [-3.226, 6.078, -0.262], [-3.226, -2.314, 5.626]],
  "species": ["Mn", "Cl", "Cl", "K", "Cl", "Cl", "Cl", "K"],
  "frac_coords": [[0.000, 0.023, 0.023], [0.557, 0.762, 0.762], [0.443, 0.205, 0.205], [0.500, 0.744, 0.244], [0.000, 0.275, 0.275], [0.000, 0.205, 0.762], [0.000, 0.762, 0.205], [0.500, 0.244, 0.744]]
}

3.
{
  "formula": "K2MnCl",
  "functional": "PBE-GGA",
  "state": "optimized geometry",
  "total_energy_ev_per_atom": -3.4271,
  "magnetic_moment_mub_per_fu": 4.516,
  "de_polymorph_ev_per_fu": 0.74,
  "e_form_raw_ev_per_atom": -0.12,
  "lattice": [[7.012, -0.031, 0.017], [1.508, 6.849, -0.017], [-2.778, -5.261, 3.712]],
  "species": ["Mn", "K", "K", "Cl"],
  "frac_coords": [[0.750, 0.250, 0.500], [0.445, 0.445, 0.000], [0.055, 0.055, 0.000], [0.250, 0.750, 0.500]]
}

4.
{
  "formula": "KMn2Cl7",
  "functional": "PBE-GGA",
  "state": "optimized geometry",
  "total_energy_ev_per_atom": -4.2362,
  "magnetic_moment_mub_per_fu": 8.000,
  "e_form_raw_ev_per_atom": -1.00,
  "lattice": [[4.764, 0.000, 0.000], [0.000, 7.691, -0.235], [0.000, -3.680, 6.758]],
  "species": ["Cl", "Cl", "Cl", "Mn", "Cl", "Mn", "Cl", "Cl", "Cl", "K"],
  "frac_coords": [[0.500, 0.952, 0.668], [0.500, 0.048, 0.332], [0.000, 0.303, 0.697], [0.500, 0.693, 0.307], [0.500, 0.668, 0.952], [0.500, 0.307, 0.693], [0.500, 0.332, 0.048], [0.000, 0.697, 0.303], [0.500, 0.500, 0.500], [0.000, 0.000, 0.000]]
}

5.
{
  "formula": "KMn3Cl",
  "functional": "PBE-GGA",
  "state": "optimized geometry",
  "total_energy_ev_per_atom": -5.0957,
  "magnetic_moment_mub_per_fu": 9.623,
  "de_polymorph_ev_per_fu": 0.00,
  "e_form_raw_ev_per_atom": 0.99,
  "lattice": [[-3.584, -2.438, 1.697], [2.868, -3.534, 0.978], [0.776, 1.799, 4.223]],
  "species": ["Mn", "Mn", "Mn", "K", "Cl"],
  "frac_coords": [[0.000, 0.000, 0.500], [0.500, 0.000, 0.000], [0.000, 0.500, 0.000], [0.500, 0.500, 0.500], [0.000, 0.000, 0.000]]
}

6.
{
  "formula": "K3MnCl8",
  "functional": "PBE-GGA",
  "state": "optimized geometry",
  "total_energy_ev_per_atom": -3.3241,
  "magnetic_moment_mub_per_fu": 4.749,
  "e_form_raw_ev_per_atom": -1.05,
  "lattice": [[-0.679, -0.458, 7.716], [-1.979, -7.478, -0.617], [6.775, 2.494, -3.158]],
  "species": ["Mn", "Cl", "Cl", "Cl", "K", "Cl", "Cl", "K", "Cl", "K", "Cl", "Cl"],
  "frac_coords": [[0.000, 0.000, 0.000], [0.344, 0.344, 0.246], [0.098, 0.098, 0.754], [0.344, 0.902, 0.246], [0.750, 0.250, 0.500], [0.902, 0.344, 0.246], [0.656, 0.656, 0.754], [0.250, 0.750, 0.500], [0.098, 0.656, 0.754], [0.500, 0.500, 0.000], [0.902, 0.902, 0.246], [0.656, 0.098, 0.754]]
}